# 1
Material: Ni2AgBPd
Method: DFT, PBE-GGA
State: optimized geometry

Cell: 3.931 3.931 4.144 Å, 90.00 90.00 90.00°
Positions (direct):
Pd1 0.000 0.000 0.500
Ni1 0.500 0.000 0.000
Ni2 0.000 0.500 0.000
B1 0.000 0.000 0.000
Ag1 0.500 0.500 0.500

D(E_F) in states/eV/cell: 1.06
Formation energy from the elements in eV/atom: 0.003

=====

# 2
Material: Y6Cu2Pb
Method: DFT, PBE-GGA
State: optimized geometry

Cell: 8.608 8.608 8.608 Å, 105.48 109.62 113.42°
Positions (direct):
Pb1 0.000 0.500 0.500
Pb2 0.000 0.000 0.000
Cu1 0.353 0.000 0.353
Cu2 0.500 0.618 0.118
Cu3 0.647 0.000 0.647
Cu4 0.500 0.382 0.882
Y1 0.691 0.370 0.679
Y2 0.202 0.766 0.968
Y3 0.798 0.234 0.032
Y4 0.691 0.013 0.321
Y5 0.202 0.234 0.435
Y6 0.309 0.987 0.679
Y7 0.526 0.712 0.814
Y8 0.798 0.766 0.565
Y9 0.474 0.288 0.186
Y10 0.102 0.288 0.814
Y11 0.898 0.712 0.186
Y12 0.309 0.630 0.321

D(E_F) in states/eV/cell: 15.32
Formation energy from the elements in eV/atom: -0.257

=====

# 3
Material: HfBe2Os2
Method: DFT, PBE-GGA
State: optimized geometry

Cell: 6.484 6.484 3.044 Å, 90.00 90.00 90.00°
Positions (direct):
Os1 0.665 0.835 0.500
Os2 0.335 0.165 0.500
Os3 0.835 0.335 0.500
Os4 0.165 0.665 0.500
Be1 0.882 0.618 0.000
Be2 0.382 0.882 0.000
Be3 0.618 0.118 0.000
Be4 0.118 0.382 0.000
Hf1 0.500 0.500 0.000
Hf2 0.000 0.000 0.000

D(E_F) in states/eV/cell: 2.42
Formation energy from the elements in eV/atom: -0.389
Polymorph energy (0 for the lowest one) in eV per atom: 0.000

=====

# 4
Material: Ba2NaHo
Method: DFT, PBE-GGA
State: optimized geometry

Cell: 3.814 3.814 14.237 Å, 82.30 82.30 60.00°
Positions (direct):
Ba1 0.916 0.916 0.253
Ba2 0.084 0.084 0.747
Na1 0.500 0.500 0.500
Ho1 0.000 0.000 0.000

D(E_F) in states/eV/cell: 4.87
Formation energy from the elements in eV/atom: 0.346
Polymorph energy (0 for the lowest one) in eV per atom: 0.155

=====

# 5
Material: CoAg2Cl
Method: DFT, PBE-GGA
State: optimized geometry

Cell: 8.490 8.490 8.490 Å, 21.04 21.04 21.04°
Positions (direct):
Co1 0.750 0.750 0.750
Cl1 0.250 0.250 0.250
Ag1 0.002 0.002 0.002
Ag2 0.498 0.498 0.498

Formation energy (no corrections) in eV/atom: 0.30
D(E_F) in states/eV/cell: 2.77
Polymorph energy (0 for the lowest one) in eV per atom: 0.176

=====

# 6
Material: PaCoBIr
Method: DFT, PBE-GGA
State: optimized geometry

Cell: 3.741 3.808 4.629 Å, 114.29 90.00 90.00°
Positions (direct):
Pa1 0.500 0.210 0.421
Ir1 0.000 0.955 0.910
B1 0.000 0.584 0.168
Co1 0.500 0.478 0.957

D(E_F) in states/eV/cell: 0.33
Formation energy from the elements in eV/atom: -0.455

=====

# 7
Material: SrPr2TlO
Method: DFT, PBE-GGA
State: optimized geometry

Cell: 5.140 5.062 5.062 Å, 90.00 90.00 90.00°
Positions (direct):
Pr1 0.000 0.000 0.500
Pr2 0.000 0.500 0.000
O1 0.000 0.000 0.000
Tl1 0.500 0.500 0.500
Sr1 0.500 0.000 0.000

Formation energy (no corrections) in eV/atom: -1.28
D(E_F) in states/eV/cell: 2.09

=====

# 8
Material: Al2CuReSe
Method: DFT, PBE-GGA
State: optimized geometry

Cell: 4.827 4.518 4.827 Å, 90.00 90.00 90.00°
Positions (direct):
Cu1 0.500 0.500 0.500
Re1 0.000 0.500 0.000
Al1 0.000 0.000 0.500
Al2 0.500 0.000 0.000
Se1 0.000 0.000 0.000

Formation energy (no corrections) in eV/atom: 1.35
D(E_F) in states/eV/cell: 3.79

=====

Q: Among the records above, which one has the lowest D(E_F)?
A: PaCoBIr

=====

Q: Which value of D(E_F) does entry 1 give?
A: 1.06 states/eV/cell

=====

What did the seventh record say?
Material: SrPr2TlO
Method: DFT, PBE-GGA
State: optimized geometry

Cell: 5.140 5.062 5.062 Å, 90.00 90.00 90.00°
Positions (direct):
Pr1 0.000 0.000 0.500
Pr2 0.000 0.500 0.000
O1 0.000 0.000 0.000
Tl1 0.500 0.500 0.500
Sr1 0.500 0.000 0.000

Formation energy (no corrections) in eV/atom: -1.28
D(E_F) in states/eV/cell: 2.09

=====

Q: What is the formula in the eighth record?
A: Al2CuReSe